# TaAlCd2

Crystalline TaAlCd2 at its relaxed geometry (GGA-PBE, Alexandria).

Results
Formation energy from the elements ... 1.4 eV/f.u.
Raw total energy ... -4.0095 eV/atom
D(E_F) ... 0.98 states/eV per atom
Total magnetic moment ... 0.00 μB per cell
Crystal system ... tetragonal

Lattice parameters (Å, degrees): 4.1154 4.1154 9.0231 90.00 90.00 90.00
Space group I-4m2 (No. 119)
Asymmetric unit:
Ta 0.0000 0.0000 0.0000
Al 0.0000 0.5000 0.7500
Cd 0.0000 0.0000 0.5000
Cd 0.0000 0.5000 0.2500